This record from OQMD via LeMat-Bulk describes an optimized crystal structure of TmAlIr. The functional is PBE.

The value obtained for the mass density is 9.50 g cm⁻³. For the energy, the calculation gives -5.51 eV per atom.

The structure belongs to space group F-43m (No. 216); the cell edges are 6.475, 6.475 and 6.475 Å and the angles 90.00°, 90.00° and 90.00°. The asymmetric unit holds Tm at (0.000, 0.000, 0.000), Al at (0.250, 0.250, 0.750) and Ir at (0.250, 0.250, 0.250).